In11S16, optimized geometry, DFT GGA-PBEsol; ΔE_f (raw) = -564 meV/atom; crystal system = tetragonal; D(E_F) = 3.3 states/eV per cell; space-group type = P-4m2
1.0
7.646 0.000 0.000
0.000 7.646 0.000
0.000 0.000 10.836
In S
11 16
direct
0.000 0.000 0.000
0.000 0.269 0.622
0.000 0.500 0.255
0.000 0.731 0.622
0.253 0.500 0.865
0.269 0.000 0.378
0.500 0.000 0.745
0.500 0.253 0.135
0.500 0.747 0.135
0.731 0.000 0.378
0.747 0.500 0.865
0.000 0.225 0.382
0.000 0.264 0.869
0.000 0.736 0.869
0.000 0.775 0.382
0.225 0.000 0.618
0.242 0.500 0.632
0.263 0.500 0.111
0.264 0.000 0.131
0.500 0.242 0.368
0.500 0.263 0.889
0.500 0.737 0.889
0.500 0.758 0.368
0.736 0.000 0.131
0.737 0.500 0.111
0.758 0.500 0.632
0.775 0.000 0.618

=====

Cs3CoSn, optimized geometry, DFT GGA-PBEsol; crystal system = cubic; D(E_F) = 5.8 states/eV per cell; space-group type = Pm-3m; energy relative to the elements = 0.80 eV per atom
1.0
6.206 0.000 0.000
0.000 6.206 0.000
0.000 0.000 6.206
Cs Co Sn
3 1 1
direct
0.000 0.000 0.500
0.000 0.500 0.000
0.500 0.000 0.000
0.000 0.000 0.000
0.500 0.500 0.500

=====

Ca3AsH, optimized geometry, DFT GGA-PBEsol; crystal system = cubic; D(E_F) = 4.3 states/eV per cell; space-group type = Pm-3m; E_tot = -3.432 eV/atom
1.0
4.717 0.000 0.000
0.000 4.717 0.000
0.000 0.000 4.717
Ca As H
3 1 1
direct
0.000 0.000 0.500
0.000 0.500 0.000
0.500 0.000 0.000
0.500 0.500 0.500
0.000 0.000 0.000